Record 1
# NdBi2

NdBi2 after structural relaxation (PBE, the Open Quantum Materials Database).

Lattice parameters (Å, degrees): 3.5996 3.5996 14.8402 90.00 90.00 90.00
Space group I4/mmm (No. 139)
Unique sites:
Nd 0.0000 0.0000 0.0000 (multiplicity 2)
Bi 0.0000 0.0000 0.3448 (multiplicity 4)

Properties
Mass density   9.710 g/cm³
Total magnetization   0.003 μB/f.u.
E_tot   -4.6446 eV per atom

Record 2
# NdBi2

NdBi2 after structural relaxation (PBE, the Open Quantum Materials Database).

Lattice parameters (Å, degrees): 5.6418 5.6418 3.3823 90.00 90.00 120.00
Space group P6/mmm (No. 191)
Unique sites:
Nd 0.0000 0.0000 0.0000 (multiplicity 1)
Bi 0.3333 0.6667 0.5000 (multiplicity 2)

Properties
Mass density   10.013 g/cm³
Total magnetization   0.004 μB/f.u.
E_tot   -4.6715 eV per atom

Record 3
# NdBi2

NdBi2 after structural relaxation (PBE, the Open Quantum Materials Database).

Lattice parameters (Å, degrees): 15.5995 4.8553 5.0444 90.00 90.73 90.00
Space group C2/m (No. 12)
Unique sites:
Nd 0.2501 0.0000 0.2499 (multiplicity 4)
Bi 0.0964 0.0000 0.7484 (multiplicity 4)
Bi 0.0980 0.5000 0.2487 (multiplicity 4)

Properties
Mass density   9.775 g/cm³
Total magnetization   0.006 μB/f.u.
E_tot   -4.6586 eV per atom

- The highest total magnetization belongs to which entry?
  number 3

- What is the total magnetization in the third record?
  0.006 μB/f.u.

- What is the mass density in the second record?
  10.013 g/cm³